#1
Material: RbAgMo2
Method: DFT, GGA-PBE
State: relaxed

abc: 6.7493 6.7493 6.7493
angles: 90.00 90.00 90.00
Sites, in units of the cell vectors:
Rb 0.0000 0.0000 0.0000
Rb 0.0000 0.5000 0.5000
Rb 0.5000 0.0000 0.5000
Rb 0.5000 0.5000 0.0000
Ag 0.0000 0.0000 0.5000
Ag 0.0000 0.5000 0.0000
Ag 0.5000 0.0000 0.0000
Ag 0.5000 0.5000 0.5000
Mo 0.2500 0.2500 0.2500
Mo 0.2500 0.2500 0.7500
Mo 0.2500 0.7500 0.2500
Mo 0.2500 0.7500 0.7500
Mo 0.7500 0.2500 0.2500
Mo 0.7500 0.2500 0.7500
Mo 0.7500 0.7500 0.2500
Mo 0.7500 0.7500 0.7500

Results
Crystal system: cubic
Total magnetic moment: 0.00 μB/f.u.
DOS(E_F): 4.7 states/eV/f.u.


#2
Material: RbAgMo2
Method: DFT, GGA-PBE
State: relaxed

abc: 4.3727 4.3727 21.7566
angles: 90.00 90.00 90.00
Sites, in units of the cell vectors:
Rb 0.0000 0.0000 0.0000
Rb 0.0000 0.5000 0.2500
Rb 0.5000 0.0000 0.7500
Rb 0.5000 0.5000 0.5000
Ag 0.0000 0.0000 0.5000
Ag 0.0000 0.5000 0.7500
Ag 0.5000 0.0000 0.2500
Ag 0.5000 0.5000 0.0000
Mo 0.0972 0.7500 0.6250
Mo 0.2500 0.0972 0.3750
Mo 0.2500 0.4028 0.8750
Mo 0.4028 0.7500 0.1250
Mo 0.5972 0.2500 0.1250
Mo 0.7500 0.5972 0.8750
Mo 0.7500 0.9028 0.3750
Mo 0.9028 0.2500 0.6250

Results
Crystal system: tetragonal
Total magnetic moment: 0.00 μB/f.u.
DOS(E_F): 3.3 states/eV/f.u.


Most stable structure, least stable structure: #2, #1.


#1
Material: ReAgMo2
Method: DFT, GGA-PBE
State: relaxed

abc: 2.7962 2.7962 28.5526
angles: 90.00 90.00 120.00
Sites, in units of the cell vectors:
Re 0.0000 0.0000 0.0000
Re 0.3333 0.6667 0.6667
Re 0.6667 0.3333 0.3333
Ag 0.0000 0.0000 0.5000
Ag 0.3333 0.6667 0.1667
Ag 0.6667 0.3333 0.8333
Mo 0.0000 0.0000 0.2551
Mo 0.0000 0.0000 0.7449
Mo 0.3333 0.6667 0.4116
Mo 0.3333 0.6667 0.9218
Mo 0.6667 0.3333 0.0782
Mo 0.6667 0.3333 0.5884

Results
Crystal system: trigonal
Total magnetic moment: 0.00 μB/f.u.
DOS(E_F): 3.7 states/eV/f.u.


#2
Material: ReAgMo2
Method: DFT, GGA-PBE
State: relaxed

abc: 6.3531 6.3531 6.3531
angles: 90.00 90.00 90.00
Sites, in units of the cell vectors:
Re 0.0000 0.0000 0.0000
Re 0.0000 0.5000 0.5000
Re 0.5000 0.0000 0.5000
Re 0.5000 0.5000 0.0000
Ag 0.2500 0.2500 0.7500
Ag 0.2500 0.7500 0.2500
Ag 0.7500 0.2500 0.2500
Ag 0.7500 0.7500 0.7500
Mo 0.0000 0.0000 0.5000
Mo 0.0000 0.5000 0.0000
Mo 0.2500 0.2500 0.2500
Mo 0.2500 0.7500 0.7500
Mo 0.5000 0.0000 0.0000
Mo 0.5000 0.5000 0.5000
Mo 0.7500 0.2500 0.7500
Mo 0.7500 0.7500 0.2500

Results
Crystal system: cubic
Total magnetic moment: 0.00 μB/f.u.
DOS(E_F): 6.1 states/eV/f.u.


#3
Material: ReAgMo2
Method: DFT, GGA-PBE
State: relaxed

abc: 3.1834 4.3902 9.2267
angles: 90.00 90.00 90.00
Sites, in units of the cell vectors:
Re 0.0000 0.0000 0.0000
Re 0.5000 0.5000 0.0000
Ag 0.0000 0.0000 0.5000
Ag 0.5000 0.5000 0.5000
Mo 0.0000 0.5000 0.2363
Mo 0.0000 0.5000 0.7637
Mo 0.5000 0.0000 0.2363
Mo 0.5000 0.0000 0.7637

Results
Crystal system: orthorhombic
Total magnetic moment: 0.00 μB/f.u.
DOS(E_F): 3.1 states/eV/f.u.


Most stable structure, least stable structure: #3, #2.


#1
Material: ReAg2Mo
Method: DFT, GGA-PBE
State: relaxed

abc: 3.0888 3.0888 7.2620
angles: 90.00 90.00 90.00
Sites, in units of the cell vectors:
Re 0.0000 0.0000 0.0000
Ag 0.0000 0.0000 0.5343
Ag 0.5000 0.5000 0.2782
Mo 0.5000 0.5000 0.8181

Results
Crystal system: tetragonal
Total magnetic moment: 0.00 μB/f.u.
DOS(E_F): 3.2 states/eV/f.u.


#2
Material: ReAg2Mo
Method: DFT, GGA-PBE
State: relaxed

abc: 4.0816 4.0816 7.7622
angles: 90.00 90.00 90.00
Sites, in units of the cell vectors:
Re 0.0000 0.0000 0.0000
Re 0.5000 0.5000 0.5000
Ag 0.0000 0.0000 0.5000
Ag 0.0000 0.5000 0.7500
Ag 0.5000 0.0000 0.2500
Ag 0.5000 0.5000 0.0000
Mo 0.0000 0.5000 0.2500
Mo 0.5000 0.0000 0.7500

Results
Crystal system: tetragonal
Total magnetic moment: 0.00 μB/f.u.
DOS(E_F): 3.0 states/eV/f.u.


Most stable structure, least stable structure: #1, #2.